LaNp2TcN4: optimized geometry, PBE-GGA.

Properties
Total moment in Bohr magnetons per cell: 10.01
E_form (uncorrected) in eV/atom: -0.9559
Symmetry: Cmcm, No. 63

a b c (Å): 6.1460 6.1460 11.6527
angles (deg): 90.00 90.00 147.99
Atoms (fractional coordinates):
La 0.1039 0.8961 0.7500
La 0.8961 0.1039 0.2500
Np 0.3692 0.6308 0.5503
Np 0.3692 0.6308 0.9497
Np 0.6308 0.3692 0.0503
Np 0.6308 0.3692 0.4497
Tc 0.1563 0.8437 0.2500
Tc 0.8437 0.1563 0.7500
N 0.0000 0.0000 0.0000
N 0.0000 0.0000 0.5000
N 0.2649 0.7351 0.1103
N 0.2649 0.7351 0.3897
N 0.4483 0.5517 0.7500
N 0.5517 0.4483 0.2500
N 0.7351 0.2649 0.6103
N 0.7351 0.2649 0.8897